Entry P
A plane-wave DFT calculation with GGA-PBE was carried out for LaBe2Co after structural relaxation.

For the density of states at the Fermi level, the calculation gives 3.07 states/eV/f.u.

The space group is P2/m (No. 10) and the conventional cell measures 4.096, 3.888 and 4.529 Å, with angles of 90.00, 107.43 and 90.00 degrees. The inequivalent atoms are La at (0.000, 0.000, 0.000), Be at (0.293, 0.500, 0.588) and Co at (0.500, 0.000, 0.500).

---

Entry Q
A plane-wave DFT calculation with GGA-PBE was carried out for LaBe2Co after structural relaxation.

For the density of states at the Fermi level, the calculation gives 4.47 states/eV/f.u.

The space group is P4/mmm (No. 123) and the conventional cell measures 4.693, 4.693 and 2.861 Å, with angles of 90.00, 90.00 and 90.00 degrees. The inequivalent atoms are La at (0.000, 0.000, 0.000), Be at (0.000, 0.500, 0.500) and Co at (0.500, 0.500, 0.000).

---

Which of them is most stable? Easy: entry P.

---

Entry P
A plane-wave DFT calculation with GGA-PBE was carried out for LaBe2Co after structural relaxation.

For the density of states at the Fermi level, the calculation gives 3.26 states/eV/f.u.

The space group is C2/m (No. 12) and the conventional cell measures 6.563, 3.779 and 5.559 Å, with angles of 90.00, 112.73 and 90.00 degrees. The inequivalent atoms are La at (0.000, 0.000, 0.000), Be at (0.188, 0.000, 0.565) and Co at (0.000, 0.500, 0.500).

---

Entry Q
A plane-wave DFT calculation with GGA-PBE was carried out for LaBe2Co after structural relaxation.

For the density of states at the Fermi level, the calculation gives 2.30 states/eV/f.u.

The space group is C2/m (No. 12) and the conventional cell measures 5.084, 6.916 and 3.891 Å, with angles of 90.00, 104.91 and 90.00 degrees. The inequivalent atoms are La at (0.000, 0.000, 0.000), Be at (0.000, 0.344, 0.500) and Co at (0.000, 0.500, 0.000).

---

Entry R
A plane-wave DFT calculation with GGA-PBE was carried out for LaBe2Co after structural relaxation.

For the density of states at the Fermi level, the calculation gives 3.88 states/eV/f.u.

The space group is I4/mmm (No. 139) and the conventional cell measures 4.147, 4.147 and 7.191 Å, with angles of 90.00, 90.00 and 90.00 degrees. The inequivalent atoms are La at (0.000, 0.000, 0.000), Be at (0.000, 0.500, 0.250) and Co at (0.000, 0.000, 0.500).

---

Entry S
A plane-wave DFT calculation with GGA-PBE was carried out for LaBe2Co after structural relaxation.

For the density of states at the Fermi level, the calculation gives 2.99 states/eV/f.u.

The space group is I4_1/amd (No. 141, origin choice 2) and the conventional cell measures 4.270, 4.270 and 15.109 Å, with angles of 90.00, 90.00 and 90.00 degrees. The inequivalent atoms are La at (0.000, 0.250, 0.375), Be at (0.000, 0.000, 0.000) and Co at (0.000, 0.250, 0.875).

---

Which of them is most stable? Easy: entry P.

---

Entry P
A plane-wave DFT calculation with GGA-PBE was carried out for LiBeCo2Te after structural relaxation.

For the density of states at the Fermi level, the calculation gives 8.10 states/eV/f.u.

The space group is P4/mmm (No. 123) and the conventional cell measures 4.054, 4.054 and 4.757 Å, with angles of 90.00, 90.00 and 90.00 degrees. The inequivalent atoms are Li at (0.000, 0.000, 0.000), Be at (0.500, 0.500, 0.500), Co at (0.000, 0.500, 0.500) and Te at (0.500, 0.500, 0.000).

---

Entry Q
A plane-wave DFT calculation with GGA-PBE was carried out for LiBeCo2Te after structural relaxation.

For the density of states at the Fermi level, the calculation gives 7.10 states/eV/f.u.

The space group is P4/mmm (No. 123) and the conventional cell measures 4.677, 4.677 and 4.813 Å, with angles of 90.00, 90.00 and 90.00 degrees. The inequivalent atoms are Li at (0.000, 0.000, 0.000), Be at (0.500, 0.500, 0.000), Co at (0.000, 0.500, 0.500) and Te at (0.000, 0.000, 0.500).

---

Which of them is most stable? Easy: entry P.